No. 1
# HfMn2Co2

A relaxed structure of HfMn2Co2 (GGA-PBE, Alexandria via LeMat-Bulk).

a = 5.386 Å, b = 5.386 Å, c = 5.386 Å
α = 139.22°, β = 139.22°, γ = 59.03°
Atoms (fractional coordinates):
Hf  0.000  0.000  0.000
Mn  0.395  0.395  0.000
Mn  0.605  0.605  0.000
Co  0.250  0.750  0.500
Co  0.750  0.250  0.500

Formation energy: -28 meV per atom
Space group: I4/mmm
Total moment: 0.0 μB/f.u.
ΔE to the lowest computed polymorph: 0.0 meV per atom
Uncorrected energy: -42.6 eV/cell

No. 2
# PmSnPtRh

A relaxed structure of PmSnPtRh (GGA-PBE, Alexandria via LeMat-Bulk).

a = 4.835 Å, b = 4.835 Å, c = 4.835 Å
α = 60.00°, β = 60.00°, γ = 60.00°
Atoms (fractional coordinates):
Pm  0.000  0.000  0.000
Sn  0.500  0.500  0.500
Pt  0.750  0.750  0.750
Rh  0.250  0.250  0.250

Formation energy: -720 meV per atom
Space group: F-43m
Total moment: 0.0 μB/f.u.
Uncorrected energy: -25.0 eV/cell

No. 3
# RbMgHgCl6

A relaxed structure of RbMgHgCl6 (GGA-PBE, Alexandria via LeMat-Bulk).

a = 6.751 Å, b = 6.751 Å, c = 7.282 Å
α = 90.13°, β = 90.13°, γ = 120.39°
Atoms (fractional coordinates):
Rb  0.000  0.000  0.000
Mg  0.665  0.335  0.500
Hg  0.333  0.667  0.500
Cl  0.388  0.373  0.706
Cl  0.391  0.015  0.292
Cl  0.625  0.014  0.704
Cl  0.627  0.612  0.294
Cl  0.985  0.609  0.708
Cl  0.986  0.375  0.296

Formation energy without anion corrections: -1179 meV per atom
Space group: C2
Total moment: 1.1 μB/f.u.
Uncorrected energy: -24.6 eV/cell

No. 4
# AcTb2SnN4

A relaxed structure of AcTb2SnN4 (GGA-PBE, Alexandria via LeMat-Bulk).

a = 6.319 Å, b = 6.319 Å, c = 12.108 Å
α = 90.00°, β = 90.00°, γ = 146.11°
Atoms (fractional coordinates):
Ac  0.105  0.895  0.750
Ac  0.895  0.105  0.250
Tb  0.371  0.629  0.538
Tb  0.371  0.629  0.962
Tb  0.629  0.371  0.038
Tb  0.629  0.371  0.462
Sn  0.158  0.842  0.250
Sn  0.842  0.158  0.750
N  0.000  0.000  0.000
N  0.000  0.000  0.500
N  0.270  0.730  0.119
N  0.270  0.730  0.381
N  0.433  0.567  0.750
N  0.567  0.433  0.250
N  0.730  0.270  0.619
N  0.730  0.270  0.881

Formation energy without anion corrections: -886 meV per atom
Space group: Cmcm
Total moment: 0.0 μB/f.u.
Uncorrected energy: -115.5 eV/cell

No. 5
# AlCd3Ag3

A relaxed structure of AlCd3Ag3 (GGA-PBE, Alexandria via LeMat-Bulk).

a = 5.528 Å, b = 5.528 Å, c = 10.257 Å
α = 91.46°, β = 91.46°, γ = 116.34°
Atoms (fractional coordinates):
Al  0.090  0.090  0.388
Al  0.910  0.910  0.612
Cd  0.065  0.065  0.872
Cd  0.323  0.677  0.500
Cd  0.326  0.674  0.000
Cd  0.674  0.326  0.000
Cd  0.677  0.323  0.500
Cd  0.935  0.935  0.128
Ag  0.012  0.529  0.746
Ag  0.471  0.988  0.254
Ag  0.497  0.497  0.254
Ag  0.503  0.503  0.746
Ag  0.529  0.012  0.746
Ag  0.988  0.471  0.254

Formation energy: 12 meV per atom
Space group: C2/m
Total moment: 0.0 μB/f.u.
Uncorrected energy: -29.9 eV/cell

No. 6
# PrY2Ga6

A relaxed structure of PrY2Ga6 (GGA-PBE, Alexandria via LeMat-Bulk).

a = 7.829 Å, b = 7.829 Å, c = 7.829 Å
α = 147.65°, β = 125.60°, γ = 64.72°
Atoms (fractional coordinates):
Pr  0.000  0.000  0.000
Y  0.373  0.873  0.500
Y  0.627  0.127  0.500
Ga  0.011  0.316  0.694
Ga  0.318  0.500  0.818
Ga  0.378  0.684  0.694
Ga  0.622  0.316  0.306
Ga  0.682  0.500  0.182
Ga  0.989  0.684  0.306

Formation energy: -495 meV per atom
Space group: Immm
Total moment: 0.0 μB/f.u.
ΔE to the lowest computed polymorph: 168.5 meV per atom
Uncorrected energy: -40.3 eV/cell

No. 7
# Ti2Al3Pd2

A relaxed structure of Ti2Al3Pd2 (GGA-PBE, Alexandria via LeMat-Bulk).

a = 5.014 Å, b = 5.014 Å, c = 6.034 Å
α = 93.74°, β = 93.74°, γ = 46.24°
Atoms (fractional coordinates):
Ti  0.140  0.140  0.439
Ti  0.860  0.860  0.561
Al  0.000  0.000  0.000
Al  0.288  0.288  0.856
Al  0.712  0.712  0.144
Pd  0.425  0.425  0.256
Pd  0.575  0.575  0.744

Formation energy: -487 meV per atom
Space group: C2/m
Total moment: 1.1 μB/f.u.
Uncorrected energy: -40.8 eV/cell

No. 8
# LaTh2Sb

A relaxed structure of LaTh2Sb (GGA-PBE, Alexandria via LeMat-Bulk).

a = 4.858 Å, b = 4.858 Å, c = 5.120 Å
α = 90.00°, β = 90.00°, γ = 90.00°
Atoms (fractional coordinates):
La  0.000  0.000  0.000
Th  0.000  0.500  0.500
Th  0.500  0.000  0.500
Sb  0.500  0.500  0.000

Formation energy without anion corrections: -436 meV per atom
Space group: P4/mmm
Total moment: 0.0 μB/f.u.
Uncorrected energy: -25.6 eV/cell